Entry 1:
TiNbF2 PBE optimized geometry; formation energy without anion corrections = -0.611 eV per atom; calculated total energy = -6.038 eV/atom; SG = Fm-3m, No. 225; offset from the most stable computed form = 0.9736 eV per atom
1.0
0.0000 2.9709 2.9709
2.9709 0.0000 2.9709
2.9709 2.9709 0.0000
Nb F Ti
1 2 1
Direct
0.5000 0.5000 0.5000 Nb
0.2500 0.2500 0.2500 F
0.7500 0.7500 0.7500 F
0.0000 0.0000 0.0000 Ti


Entry 2:
Nd3Sm2HoS6 PBE optimized geometry; formation energy without anion corrections = -2.021 eV per atom; calculated total energy = -6.444 eV/atom; SG = C2/m, No. 12
1.0
6.9556 -0.0108 -0.0010
-3.4854 6.0193 -0.0010
-1.1586 -2.0061 6.5828
Nd Sm Ho S
3 2 1 6
Direct
0.1700 0.8300 0.5000 Nd
0.8300 0.1700 0.5000 Nd
0.5000 0.5000 0.5000 Nd
0.3331 0.6669 0.0000 Sm
0.6669 0.3331 0.0000 Sm
0.0000 0.0000 0.0000 Ho
0.9203 0.5942 0.7605 S
0.7547 0.7547 0.2423 S
0.0797 0.4058 0.2395 S
0.5942 0.9203 0.7605 S
0.2453 0.2453 0.7577 S
0.4058 0.0797 0.2395 S


Entry 3:
LiPa4SnN8 PBE optimized geometry; formation energy without anion corrections = -1.141 eV per atom; calculated total energy = -9.035 eV/atom; SG = R3m, No. 160
1.0
-4.5440 4.6341 -2.9921
-3.1577 -1.5949 -6.2097
-6.2568 -1.0511 -0.6609
Li Pa Sn N
1 4 1 8
Direct
0.9920 0.9920 0.0241 Li
0.5914 0.5914 0.2259 Pa
0.9960 0.5009 0.5072 Pa
0.5009 0.9960 0.5072 Pa
0.9960 0.9960 0.5072 Pa
0.3824 0.3824 0.8529 Sn
0.2719 0.7689 0.6872 N
0.7689 0.2719 0.6872 N
0.2719 0.2719 0.6872 N
0.2413 0.2413 0.2760 N
0.7608 0.2155 0.2629 N
0.2155 0.7608 0.2629 N
0.7608 0.7608 0.2629 N
0.7503 0.7503 0.7492 N